# TbPmHoHg (GGA-PBE, relaxed)
# Formation enthalpy at 0 K: -24.9 meV/atom
# Space group: No. 216
data_TbPmHoHg
_cell_length_a 5.433
_cell_length_b 5.433
_cell_length_c 5.433
_cell_angle_alpha 60.00
_cell_angle_beta 60.00
_cell_angle_gamma 60.00
_space_group_name_H-M_alt 'P 1'
_space_group_IT_number 1
loop_
_space_group_symop_operation_xyz
'x,y,z'
loop_
_atom_site_label
_atom_site_fract_x
_atom_site_fract_y
_atom_site_fract_z
_atom_site_occupancy
Tb1 0.000 0.000 0.000 1
Ho1 0.500 0.500 0.500 1
Pm1 0.750 0.750 0.750 1
Hg1 0.250 0.250 0.250 1

# BaScSi2 (GGA-PBE, relaxed)
# Space group: No. 225
data_BaScSi2
_cell_length_a 5.156
_cell_length_b 5.156
_cell_length_c 5.156
_cell_angle_alpha 60.00
_cell_angle_beta 60.00
_cell_angle_gamma 60.00
_space_group_name_H-M_alt 'P 1'
_space_group_IT_number 1
loop_
_space_group_symop_operation_xyz
'x,y,z'
loop_
_atom_site_label
_atom_site_fract_x
_atom_site_fract_y
_atom_site_fract_z
_atom_site_occupancy
Sc1 0.000 0.000 0.000 1
Si1 0.750 0.750 0.750 1
Si2 0.250 0.250 0.250 1
Ba1 0.500 0.500 0.500 1

Number 1: polymorph energy (0 for the lowest one) 0.206 eV/atom. Number 2: polymorph energy (0 for the lowest one) 0.439 eV/atom.